--- w ---
This record from Alexandria via LeMat-Bulk describes a relaxed Co3AuBr crystal. The functional is PBE.

Summary:
Magnetization, μB/f.u.: 6.39
Volume, Å³ per atom: 22.41

extended XYZ file:
```
5
Lattice="-4.5270 1.2604 1.0785 -1.4351 -4.5479 -0.7088 0.8320 -0.9866 4.6454" Properties=species:S:1:pos:R:3 pbc="T T T"
Au 0.0000 0.0000 0.0000
Co -0.7175 -2.2740 -0.3544
Co 0.4160 -0.4933 2.3227
Co -2.2635 0.6302 0.5393
Br -2.5650 -2.1371 2.5075
```

=====

--- x ---
This record from Alexandria via LeMat-Bulk describes a relaxed Co3AuBr crystal. The functional is PBE.

Summary:
Magnetization, μB/f.u.: 3.08
Volume, Å³ per atom: 16.20

extended XYZ file:
```
5
Lattice="-1.2845 0.1430 4.1292 2.5627 -3.3642 0.9137 3.2408 2.7170 0.9141" Properties=species:S:1:pos:R:3 pbc="T T T"
Co 1.6204 1.3585 0.4570
Br 0.0000 0.0000 0.0000
Au 2.2595 -0.2522 2.9785
Co -0.6422 0.0715 2.0646
Co 1.2814 -1.6821 0.4568
```

=====

Stability summary: most stable x, least stable w.

=====

--- w ---
This record from Alexandria via LeMat-Bulk describes a relaxed CoHAuSBr crystal. The functional is PBE.

Summary:
Magnetization, μB/f.u.: 1.38
Volume, Å³ per atom: 20.27

extended XYZ file:
```
5
Lattice="6.6244 0.0000 0.2473 0.0000 2.8317 0.0000 -2.3517 0.0000 5.3161" Properties=species:S:1:pos:R:3 pbc="T T T"
H 2.1062 1.4158 1.8452
Au 0.7006 1.4158 2.8645
Br 4.3292 0.0000 0.8341
Co 1.8214 0.0000 0.7499
S -0.9944 1.4158 4.5146
```

=====

--- x ---
This record from Alexandria via LeMat-Bulk describes a relaxed CoHAuSBr crystal. The functional is PBE.

Summary:
Magnetization, μB/f.u.: 0.00
Volume, Å³ per atom: 15.73

extended XYZ file:
```
10
Lattice="3.2179 0.0000 0.0118 0.0000 5.0235 0.0000 -1.0657 0.0000 9.7269" Properties=species:S:1:pos:R:3 pbc="T T T"
Br 0.9758 0.0000 5.9942
S 2.3310 2.5118 7.6695
H 2.9520 0.0000 0.4377
Br 1.5087 2.5118 1.1308
Co 1.2585 0.0000 1.3229
S 2.8638 0.0000 2.8060
Au 2.0276 0.0000 8.4704
H 2.4192 2.5118 5.3011
Au 2.5605 2.5118 3.6069
Co 0.7256 2.5118 6.1863
```

=====

Stability summary: most stable w, least stable x.

=====

--- w ---
This record from Alexandria via LeMat-Bulk describes a relaxed CoHAuSBr crystal. The functional is PBE.

Summary:
Magnetization, μB/f.u.: 0.00
Volume, Å³ per atom: 21.32

extended XYZ file:
```
5
Lattice="-1.1160 0.2867 -3.5643 0.8634 -4.3516 -2.5845 -5.1139 -3.1418 1.0299" Properties=species:S:1:pos:R:3 pbc="T T T"
S -2.1717 -0.7701 -3.0811
H 0.0579 -3.2565 -3.9753
Co -0.7465 -0.5676 -1.5427
Au 0.4508 -3.1036 -2.1176
Br -3.6166 -3.9300 -1.2335
```

=====

--- x ---
This record from Alexandria via LeMat-Bulk describes a relaxed CoHAuSBr crystal. The functional is PBE.

Summary:
Magnetization, μB/f.u.: 0.00
Volume, Å³ per atom: 19.42

extended XYZ file:
```
5
Lattice="3.3290 0.0000 0.0000 -0.6570 4.8409 0.0000 -1.4235 -2.2219 6.0262" Properties=species:S:1:pos:R:3 pbc="T T T"
H -0.5076 0.9898 5.5342
Br 0.9547 2.6039 4.1796
Co -0.6929 2.4703 5.9381
S -0.2648 -0.0406 1.3218
Au 0.2274 2.2161 0.7885
```

=====

Stability summary: most stable x, least stable w.